1.
Density functional theory data (PBE) for a relaxed structure of CeYCoCl.

a = 3.8380 Å, b = 3.8380 Å, c = 22.4909 Å
α = 90.00°, β = 90.00°, γ = 120.00°
With the nearest neighbours (Å) after each atom.
Space group R3m (No. 160, hexagonal axes)
Symmetry-distinct sites (fractional):
Ce1 0.0000 0.0000 0.0000 x3  3 Co 2.57
Y1 0.0000 0.0000 0.2024 x3  3 Co 2.76
Co1 0.0000 0.0000 0.6088 x3  3 Ce 2.57, 3 Y 2.76
Cl1 0.0000 0.0000 0.4394 x3  3 Y 3.10, 3 Ce 3.26

Summary:
Formation energy (no corrections) in eV per atom: -0.83
Total energy in eV per cell: -74.0
M_tot in μB per cell: 1.601

=====

2.
Density functional theory data (PBE) for a relaxed structure of LiHo2In3.

a = 7.0471 Å, b = 9.7881 Å, c = 16.9201 Å
α = 90.00°, β = 90.00°, γ = 90.00°
With the nearest neighbours (Å) after each atom.
Space group Fmmm (No. 69)
Symmetry-distinct sites (fractional):
Li1 0.0000 0.0000 0.1683 x8  3 In 2.70-2.73
Ho1 0.2491 0.0000 0.5000 x8  10 In 3.29-3.42, 2 Li 3.35, 2 Ho 3.51-3.54
Ho2 0.2500 0.2500 0.2500 x8  8 In 3.28-3.29, 4 Li 3.32, 2 Ho 3.52
In1 0.0000 0.0000 0.3279 x8  1 Li 2.70, 2 In 2.92
In2 0.0000 0.2411 0.0869 x16  1 Li 2.73, 2 In 2.92-2.94

Summary:
Formation energy from the elements in eV/f.u.: -2.42
Total energy in eV per cell: -173.7
M_tot in μB per cell: 0.000

=====

3.
Density functional theory data (PBE) for a relaxed structure of PmPr2Pb.

a = 8.0020 Å, b = 8.0020 Å, c = 8.0020 Å
α = 90.00°, β = 90.00°, γ = 90.00°
With the nearest neighbours (Å) after each atom.
Space group Fm-3m (No. 225)
Symmetry-distinct sites (fractional):
Pm1 0.0000 0.0000 0.0000 x4  8 Pr 3.46
Pr1 0.2500 0.2500 0.2500 x8  4 Pb 3.46, 4 Pm 3.46
Pb1 0.0000 0.0000 0.5000 x4  8 Pr 3.46

Summary:
Formation energy from the elements in eV/f.u.: -0.61
Excess energy over the best structure of this formula in the dataset in eV per atom: 0.187
Total energy in eV per cell: -74.5
M_tot in μB per cell: 0.000

=====

4.
Density functional theory data (PBE) for a relaxed structure of TiCr3Fe.

a = 4.1818 Å, b = 4.1818 Å, c = 4.1818 Å
α = 90.00°, β = 90.00°, γ = 90.00°
With the nearest neighbours (Å) after each atom.
Space group Pm-3m (No. 221)
Symmetry-distinct sites (fractional):
Ti1 0.0000 0.0000 0.0000 x1  6 Cr 2.09
Cr1 0.0000 0.0000 0.5000 x3  2 Ti 2.09
Fe1 0.5000 0.5000 0.5000 x1  12 Cr 2.96

Summary:
Formation energy from the elements in eV/f.u.: 8.92
Excess energy over the best structure of this formula in the dataset in eV per atom: 0.860
Total energy in eV per cell: -36.3
M_tot in μB per cell: 0.001

=====

5.
Density functional theory data (PBE) for a relaxed structure of AlCd2Re.

a = 9.5042 Å, b = 2.8254 Å, c = 5.3764 Å
α = 90.00°, β = 98.35°, γ = 90.00°
With the nearest neighbours (Å) after each atom.
Space group Cm (No. 8)
Symmetry-distinct sites (fractional):
Al1 0.0000 0.0000 0.0000 x2  3 Re 2.70-2.80, 2 Al 2.83, 3 Cd 2.87-2.99
Cd1 0.2390 0.0000 0.6950 x2  5 Cd 2.79-2.95, 2 Re 2.94, 3 Al 2.99-3.11
Cd2 0.4817 0.0000 0.4580 x2  5 Cd 2.79-2.95, 2 Al 2.87, 3 Re 2.95-3.04
Re1 0.2363 0.5000 0.1744 x2  3 Al 2.70-2.80, 2 Re 2.83, 4 Cd 2.94-2.95

Summary:
Formation energy from the elements in eV/f.u.: 1.42
Total energy in eV per cell: -33.2
M_tot in μB per cell: 0.000